Entry 1:
! PBE-GGA LiPrSmGd, optimized geometry; values from VASP
! Calculated total energy, eV/atom: -6.20
! Total magnetic moment, μB/f.u.: 7.34
&SYSTEM
  ibrav = 0, nat = 4, ntyp = 4
/
ATOMIC_SPECIES
Li 6.94 Li.upf
Pr 140.91 Pr.upf
Sm 150.36 Sm.upf
Gd 157.25 Gd.upf
CELL_PARAMETERS angstrom
0.0000 3.9572 3.9572
3.9572 0.0000 3.9572
3.9572 3.9572 0.0000
ATOMIC_POSITIONS angstrom
Li 0.0000 0.0000 0.0000
Pr 5.9357 5.9357 5.9357
Sm 1.9786 1.9786 1.9786
Gd 3.9572 3.9572 3.9572

Entry 2:
! PBE-GGA LiPrGdTc, optimized geometry; values from VASP
! Calculated total energy, eV/atom: -7.73
! Total magnetic moment, μB/f.u.: 7.13
&SYSTEM
  ibrav = 0, nat = 4, ntyp = 4
/
ATOMIC_SPECIES
Li 6.94 Li.upf
Pr 140.91 Pr.upf
Gd 157.25 Gd.upf
Tc 98.00 Tc.upf
CELL_PARAMETERS angstrom
0.0000 3.5632 3.5632
3.5632 0.0000 3.5632
3.5632 3.5632 0.0000
ATOMIC_POSITIONS angstrom
Li 0.0000 0.0000 0.0000
Pr 1.7816 1.7816 1.7816
Gd 5.3448 5.3448 5.3448
Tc 3.5632 3.5632 3.5632

Entry 3:
! PBE-GGA LiPrGdTl, optimized geometry; values from VASP
! Calculated total energy, eV/atom: -6.00
! Total magnetic moment, μB/f.u.: 7.96
&SYSTEM
  ibrav = 0, nat = 4, ntyp = 4
/
ATOMIC_SPECIES
Li 6.94 Li.upf
Pr 140.91 Pr.upf
Gd 157.25 Gd.upf
Tl 204.38 Tl.upf
CELL_PARAMETERS angstrom
0.0000 3.8296 3.8296
3.8296 0.0000 3.8296
3.8296 3.8296 0.0000
ATOMIC_POSITIONS angstrom
Li 0.0000 0.0000 0.0000
Pr 1.9148 1.9148 1.9148
Gd 5.7444 5.7444 5.7444
Tl 3.8296 3.8296 3.8296

Entry 4:
! PBE-GGA LiPrGdTm, optimized geometry; values from VASP
! Calculated total energy, eV/atom: -6.16
! Total magnetic moment, μB/f.u.: 7.34
&SYSTEM
  ibrav = 0, nat = 4, ntyp = 4
/
ATOMIC_SPECIES
Li 6.94 Li.upf
Pr 140.91 Pr.upf
Gd 157.25 Gd.upf
Tm 168.93 Tm.upf
CELL_PARAMETERS angstrom
0.0000 3.9166 3.9166
3.9166 0.0000 3.9166
3.9166 3.9166 0.0000
ATOMIC_POSITIONS angstrom
Li 0.0000 0.0000 0.0000
Pr 5.8749 5.8749 5.8749
Gd 1.9583 1.9583 1.9583
Tm 3.9166 3.9166 3.9166

Entry 5:
! PBE-GGA LiGdPt, optimized geometry; values from VASP
! Calculated total energy, eV/atom: -8.03
! Total magnetic moment, μB/f.u.: 7.23
! Energy relative to the lowest polymorph listed for this composition, meV/atom: 59
&SYSTEM
  ibrav = 0, nat = 3, ntyp = 3
/
ATOMIC_SPECIES
Li 6.94 Li.upf
Gd 157.25 Gd.upf
Pt 195.08 Pt.upf
CELL_PARAMETERS angstrom
-1.8344 1.8344 4.4938
1.8344 -1.8344 4.4938
1.8344 1.8344 -4.4938
ATOMIC_POSITIONS angstrom
Li 0.0000 0.0000 0.0000
Gd 0.0000 0.0000 2.7477
Pt 0.0000 0.0000 5.8727

Entry 6:
! PBE-GGA LiGdPt2, optimized geometry; values from VASP
! Calculated total energy, eV/atom: -7.93
! Total magnetic moment, μB/f.u.: 7.10
&SYSTEM
  ibrav = 0, nat = 4, ntyp = 3
/
ATOMIC_SPECIES
Li 6.94 Li.upf
Gd 157.25 Gd.upf
Pt 195.08 Pt.upf
CELL_PARAMETERS angstrom
3.5142 0.0000 0.0000
0.0000 3.5142 0.0000
0.0000 0.0000 5.8865
ATOMIC_POSITIONS angstrom
Li 0.0000 0.0000 0.0000
Gd 0.0000 0.0000 2.9432
Pt 1.7571 1.7571 1.3573
Pt 1.7571 1.7571 4.5292

Entry 7:
! PBE-GGA LiGdPt, optimized geometry; values from VASP
! Calculated total energy, eV/atom: -8.04
! Total magnetic moment, μB/f.u.: 7.14
! Energy relative to the lowest polymorph listed for this composition, meV/atom: 45
&SYSTEM
  ibrav = 0, nat = 3, ntyp = 3
/
ATOMIC_SPECIES
Li 6.94 Li.upf
Gd 157.25 Gd.upf
Pt 195.08 Pt.upf
CELL_PARAMETERS angstrom
0.0000 3.2774 3.2774
3.2774 0.0000 3.2774
3.2774 3.2774 0.0000
ATOMIC_POSITIONS angstrom
Li 0.0000 0.0000 0.0000
Gd 3.2774 3.2774 3.2774
Pt 4.9161 4.9161 4.9161

Entry 8:
! PBE-GGA LiGdPt2, optimized geometry; values from VASP
! Calculated total energy, eV/atom: -7.92
! Total magnetic moment, μB/f.u.: 7.08
&SYSTEM
  ibrav = 0, nat = 4, ntyp = 3
/
ATOMIC_SPECIES
Li 6.94 Li.upf
Gd 157.25 Gd.upf
Pt 195.08 Pt.upf
CELL_PARAMETERS angstrom
4.2463 0.0000 0.0000
0.0000 4.2463 0.0000
0.0000 0.0000 3.9534
ATOMIC_POSITIONS angstrom
Li 0.0000 0.0000 0.0000
Gd 2.1232 2.1232 0.0000
Pt 0.0000 2.1232 1.9767
Pt 2.1232 0.0000 1.9767

What is the formula in the fifth record? LiGdPt

Which value of calculated total energy does entry 4 give? -6.16 eV/atom